[1]
Entry from Alexandria: a geometry-optimized HgRh2CI structure (PBE).

a = 4.947 Å, b = 4.947 Å, c = 4.186 Å
α = 90.00°, β = 90.00°, γ = 90.00°
Space group P4/mmm (No. 123)
One atom of each set of equivalent atoms:
1 Hg 0.000 0.000 0.000
2 Rh 0.000 0.500 0.500
3 C 0.500 0.500 0.000
4 I 0.500 0.500 0.500

Results
ρ = 8.839 g/cm3
V = 20.5 Å³/atom
Energy relative to the elements, uncorrected = 170.2 kJ per mole of atoms
DOS at the Fermi energy = 3.76 states/eV per cell
Distance to the lowest polymorph of the same formula = 0.000 eV/atom
VASP energy = -3.392 eV/atom

[2]
Entry from Alexandria: a geometry-optimized HgRh2CI structure (PBE).

a = 5.228 Å, b = 5.228 Å, c = 3.846 Å
α = 90.00°, β = 90.00°, γ = 90.00°
Space group P4/mmm (No. 123)
One atom of each set of equivalent atoms:
1 Hg 0.000 0.000 0.000
2 Rh 0.000 0.500 0.000
3 C 0.000 0.000 0.500
4 I 0.500 0.500 0.500

Results
ρ = 8.614 g/cm3
V = 21.0 Å³/atom
Energy relative to the elements, uncorrected = 179.3 kJ per mole of atoms
DOS at the Fermi energy = 5.62 states/eV per cell
Distance to the lowest polymorph of the same formula = 0.094 eV/atom
VASP energy = -3.298 eV/atom

[3]
Entry from Alexandria: a geometry-optimized HgRh2CI structure (PBE).

a = 5.085 Å, b = 5.085 Å, c = 5.472 Å
α = 90.00°, β = 90.00°, γ = 90.00°
Space group P4/mmm (No. 123)
One atom of each set of equivalent atoms:
1 Hg 0.000 0.000 0.000
2 Rh 0.000 0.500 0.000
3 C 0.500 0.500 0.500
4 I 0.000 0.000 0.500

Results
ρ = 6.399 g/cm3
V = 28.3 Å³/atom
Energy relative to the elements, uncorrected = 271.2 kJ per mole of atoms
DOS at the Fermi energy = 10.21 states/eV per cell
Distance to the lowest polymorph of the same formula = 1.047 eV/atom
VASP energy = -2.345 eV/atom

[4]
Entry from Alexandria: a geometry-optimized HgC2SeI structure (PBE).

a = 4.170 Å, b = 4.170 Å, c = 7.590 Å
α = 90.00°, β = 90.00°, γ = 90.00°
Space group P4/mmm (No. 123)
One atom of each set of equivalent atoms:
1 Hg 0.000 0.000 0.000
2 C 0.000 0.500 0.500
3 Se 0.000 0.000 0.500
4 I 0.500 0.500 0.000

Results
ρ = 5.415 g/cm3
V = 26.4 Å³/atom
Energy relative to the elements, uncorrected = 198.6 kJ per mole of atoms
DOS at the Fermi energy = 1.40 states/eV per cell
VASP energy = -2.699 eV/atom

[5]
Entry from Alexandria: a geometry-optimized HgTe2CI structure (PBE).

a = 6.151 Å, b = 6.151 Å, c = 3.947 Å
α = 90.00°, β = 90.00°, γ = 90.00°
Space group P4/mmm (No. 123)
One atom of each set of equivalent atoms:
1 Hg 0.000 0.000 0.000
2 Te 0.000 0.500 0.000
3 C 0.000 0.000 0.500
4 I 0.500 0.500 0.500

Results
ρ = 6.613 g/cm3
V = 29.9 Å³/atom
Energy relative to the elements, uncorrected = 138.3 kJ per mole of atoms
DOS at the Fermi energy = 5.67 states/eV per cell
Distance to the lowest polymorph of the same formula = 0.407 eV/atom
VASP energy = -2.038 eV/atom

[6]
Entry from Alexandria: a geometry-optimized HgTe2CI structure (PBE).

a = 4.923 Å, b = 4.923 Å, c = 5.120 Å
α = 90.00°, β = 90.00°, γ = 90.00°
Space group P4/mmm (No. 123)
One atom of each set of equivalent atoms:
1 Hg 0.000 0.000 0.000
2 Te 0.000 0.500 0.500
3 C 0.500 0.500 0.500
4 I 0.500 0.500 0.000

Results
ρ = 7.957 g/cm3
V = 24.8 Å³/atom
Energy relative to the elements, uncorrected = 99.1 kJ per mole of atoms
DOS at the Fermi energy = 2.98 states/eV per cell
Distance to the lowest polymorph of the same formula = 0.000 eV/atom
VASP energy = -2.445 eV/atom

[7]
Entry from Alexandria: a geometry-optimized HgTeCI2 structure (PBE).

a = 5.903 Å, b = 5.903 Å, c = 5.808 Å
α = 90.00°, β = 90.00°, γ = 90.00°
Space group P4/mmm (No. 123)
One atom of each set of equivalent atoms:
1 Hg 0.000 0.000 0.000
2 Te 0.000 0.000 0.500
3 C 0.500 0.500 0.500
4 I 0.000 0.500 0.000

Results
ρ = 4.874 g/cm3
V = 40.5 Å³/atom
Energy relative to the elements, uncorrected = 167.6 kJ per mole of atoms
DOS at the Fermi energy = 7.88 states/eV per cell
Distance to the lowest polymorph of the same formula = 0.715 eV/atom
VASP energy = -1.417 eV/atom

[8]
Entry from Alexandria: a geometry-optimized HgTeCI2 structure (PBE).

a = 5.255 Å, b = 5.255 Å, c = 4.788 Å
α = 90.00°, β = 90.00°, γ = 90.00°
Space group P4/mmm (No. 123)
One atom of each set of equivalent atoms:
1 Hg 0.000 0.000 0.000
2 Te 0.500 0.500 0.000
3 C 0.500 0.500 0.500
4 I 0.000 0.500 0.500

Results
ρ = 7.461 g/cm3
V = 26.4 Å³/atom
Energy relative to the elements, uncorrected = 98.6 kJ per mole of atoms
DOS at the Fermi energy = 2.82 states/eV per cell
Distance to the lowest polymorph of the same formula = 0.000 eV/atom
VASP energy = -2.132 eV/atom

[9]
Entry from Alexandria: a geometry-optimized HgTe2CI structure (PBE).

a = 5.721 Å, b = 5.721 Å, c = 5.904 Å
α = 90.00°, β = 90.00°, γ = 90.00°
Space group P4/mmm (No. 123)
One atom of each set of equivalent atoms:
1 Hg 0.000 0.000 0.000
2 Te 0.000 0.500 0.000
3 C 0.500 0.500 0.500
4 I 0.000 0.000 0.500

Results
ρ = 5.111 g/cm3
V = 38.6 Å³/atom
Energy relative to the elements, uncorrected = 181.8 kJ per mole of atoms
DOS at the Fermi energy = 7.37 states/eV per cell
Distance to the lowest polymorph of the same formula = 0.857 eV/atom
VASP energy = -1.588 eV/atom

[10]
Entry from Alexandria: a geometry-optimized ZrHgCI2 structure (PBE).

a = 5.642 Å, b = 5.642 Å, c = 4.341 Å
α = 90.00°, β = 90.00°, γ = 90.00°
Space group P4/mmm (No. 123)
One atom of each set of equivalent atoms:
1 Zr 0.000 0.000 0.000
2 Hg 0.500 0.500 0.000
3 C 0.000 0.000 0.500
4 I 0.000 0.500 0.500

Results
ρ = 6.701 g/cm3
V = 27.6 Å³/atom
Energy relative to the elements, uncorrected = 69.0 kJ per mole of atoms
DOS at the Fermi energy = 3.21 states/eV per cell
VASP energy = -3.520 eV/atom

[11]
Entry from Alexandria: a geometry-optimized InHgC3 structure (PBE).

a = 4.397 Å, b = 4.397 Å, c = 4.397 Å
α = 90.00°, β = 90.00°, γ = 90.00°
Space group Pm-3m (No. 221)
One atom of each set of equivalent atoms:
1 In 0.000 0.000 0.000
2 Hg 0.500 0.500 0.500
3 C 0.000 0.000 0.500

Results
ρ = 6.864 g/cm3
Formation energy = 3.112 eV/atom
V = 17.0 Å³/atom
DOS at the Fermi energy = 3.17 states/eV per cell
Distance to the lowest polymorph of the same formula = 0.000 eV/atom
VASP energy = -3.030 eV/atom

[12]
Entry from Alexandria: a geometry-optimized In2Hg2C structure (PBE).

a = 4.243 Å, b = 4.243 Å, c = 14.940 Å
α = 90.00°, β = 90.00°, γ = 90.00°
Space group I4/mmm (No. 139)
One atom of each set of equivalent atoms:
1 In 0.000 0.500 0.250
2 Hg 0.000 0.000 0.092
3 C 0.000 0.000 0.500

Results
ρ = 7.938 g/cm3
Formation energy = 1.401 eV/atom
V = 26.9 Å³/atom
DOS at the Fermi energy = 6.32 states/eV per cell
Distance to the lowest polymorph of the same formula = 0.438 eV/atom
VASP energy = -1.660 eV/atom

[13]
Entry from Alexandria: a geometry-optimized In2HgC structure (PBE).

a = 6.934 Å, b = 6.934 Å, c = 6.934 Å
α = 90.00°, β = 90.00°, γ = 90.00°
Space group Fm-3m (No. 225)
One atom of each set of equivalent atoms:
1 In 0.250 0.250 0.250
2 Hg 0.000 0.000 0.000
3 C 0.000 0.000 0.500

Results
ρ = 8.809 g/cm3
Formation energy = 1.261 eV/atom
V = 20.8 Å³/atom
DOS at the Fermi energy = 7.72 states/eV per cell
VASP energy = -2.490 eV/atom

[14]
Entry from Alexandria: a geometry-optimized In2HgC structure (PBE).

a = 6.373 Å, b = 6.373 Å, c = 9.359 Å
α = 90.00°, β = 90.00°, γ = 90.00°
Space group I-42d (No. 122)
One atom of each set of equivalent atoms:
1 In 0.152 0.250 0.125
2 Hg 0.000 0.000 0.500
3 C 0.000 0.000 0.000

Results
ρ = 7.727 g/cm3
Formation energy = 0.670 eV/atom
V = 23.8 Å³/atom
DOS at the Fermi energy = 2.43 states/eV per cell
VASP energy = -3.080 eV/atom

[15]
Entry from Alexandria: a geometry-optimized In2Hg2C structure (PBE).

a = 6.286 Å, b = 6.286 Å, c = 6.401 Å
α = 90.00°, β = 90.00°, γ = 90.00°
Space group P4/mbm (No. 127)
One atom of each set of equivalent atoms:
1 In 0.192 0.308 0.000
2 Hg 0.228 0.272 0.500
3 C 0.000 0.000 0.500

Results
ρ = 8.441 g/cm3
Formation energy = 0.963 eV/atom
V = 25.3 Å³/atom
DOS at the Fermi energy = 4.93 states/eV per cell
Distance to the lowest polymorph of the same formula = 0.000 eV/atom
VASP energy = -2.098 eV/atom

[16]
Entry from Alexandria: a geometry-optimized InHgC3 structure (PBE).

a = 4.377 Å, b = 4.377 Å, c = 4.377 Å
α = 90.00°, β = 90.00°, γ = 90.00°
Space group Pm-3m (No. 221)
One atom of each set of equivalent atoms:
1 In 0.000 0.000 0.000
2 Hg 0.500 0.500 0.500
3 C 0.000 0.500 0.500

Results
ρ = 6.958 g/cm3
Formation energy = 3.238 eV/atom
V = 16.8 Å³/atom
DOS at the Fermi energy = 4.26 states/eV per cell
Distance to the lowest polymorph of the same formula = 0.126 eV/atom
VASP energy = -2.904 eV/atom

[17]
Entry from Alexandria: a geometry-optimized KInHg2C structure (PBE).

a = 6.496 Å, b = 6.496 Å, c = 7.162 Å
α = 90.00°, β = 90.00°, γ = 90.00°
Space group P4/mmm (No. 123)
One atom of each set of equivalent atoms:
1 K 0.000 0.000 0.000
2 In 0.000 0.000 0.500
3 Hg 0.000 0.500 0.000
4 C 0.500 0.500 0.500

Results
ρ = 3.116 g/cm3
Formation energy = 1.686 eV/atom
V = 60.4 Å³/atom
DOS at the Fermi energy = 2.49 states/eV per cell
VASP energy = -1.046 eV/atom

[18]
Entry from Alexandria: a geometry-optimized RbInHg2C structure (PBE).

a = 4.833 Å, b = 4.833 Å, c = 5.875 Å
α = 90.00°, β = 90.00°, γ = 90.00°
Space group P4/mmm (No. 123)
One atom of each set of equivalent atoms:
1 Rb 0.000 0.000 0.000
2 In 0.500 0.500 0.000
3 Hg 0.000 0.500 0.500
4 C 0.000 0.000 0.500

Results
ρ = 7.424 g/cm3
Formation energy = 0.948 eV/atom
V = 27.4 Å³/atom
DOS at the Fermi energy = 2.53 states/eV per cell
VASP energy = -1.759 eV/atom

[19]
Entry from Alexandria: a geometry-optimized InSiHgC2 structure (PBE).

a = 4.243 Å, b = 4.243 Å, c = 5.609 Å
α = 90.00°, β = 90.00°, γ = 90.00°
Space group P4/mmm (No. 123)
One atom of each set of equivalent atoms:
1 In 0.000 0.000 0.000
2 Si 0.500 0.500 0.000
3 Hg 0.500 0.500 0.500
4 C 0.000 0.500 0.500

Results
ρ = 6.045 g/cm3
V = 20.2 Å³/atom
Energy relative to the elements, uncorrected = 240.5 kJ per mole of atoms
DOS at the Fermi energy = 3.69 states/eV per cell
VASP energy = -2.890 eV/atom

[20]
Entry from Alexandria: a geometry-optimized In2HgTeC structure (PBE).

a = 4.862 Å, b = 4.862 Å, c = 5.016 Å
α = 90.00°, β = 90.00°, γ = 90.00°
Space group P4/mmm (No. 123)
One atom of each set of equivalent atoms:
1 In 0.000 0.500 0.000
2 Hg 0.000 0.000 0.500
3 Te 0.500 0.500 0.500
4 C 0.500 0.500 0.000

Results
ρ = 7.979 g/cm3
V = 23.7 Å³/atom
Energy relative to the elements, uncorrected = 69.6 kJ per mole of atoms
DOS at the Fermi energy = 1.23 states/eV per cell
VASP energy = -2.908 eV/atom